Record 1
PaCoNiIr | PBE-GGA | optimized geometry

Cell lengths 3.8712, 3.8771, 4.0505 Å; angles 90.00, 90.00, 90.00 degrees
Sites, in units of the cell vectors:
Pa 0.0000 0.0000 0.0000
Co 0.5000 0.5000 0.0000
Ni 0.0000 0.5000 0.5000
Ir 0.5000 0.0000 0.5000

Summary:
The value obtained for the energy of formation from the pure elements is -0.57 eV/atom.

Record 2
Co2Ni2IrPt2 | PBE-GGA | optimized geometry

Cell lengths 6.8478, 4.4845, 6.9571 Å; angles 90.00, 118.76, 90.00 degrees
Sites, in units of the cell vectors:
Co 0.0722 0.0000 0.2307
Co 0.4278 0.5000 0.7693
Co 0.5722 0.5000 0.2307
Co 0.9278 0.0000 0.7693
Ni 0.2099 0.0000 0.6369
Ni 0.2901 0.5000 0.3631
Ni 0.7099 0.5000 0.6369
Ni 0.7901 0.0000 0.3631
Ir 0.0000 0.5000 0.5000
Ir 0.5000 0.0000 0.5000
Pt 0.1417 0.5000 0.9199
Pt 0.3583 0.0000 0.0801
Pt 0.6417 0.0000 0.9199
Pt 0.8583 0.5000 0.0801

Summary:
The value obtained for the energy of formation from the pure elements is 0.14 eV/atom.

Record 3
Co4NiIrRh2 | PBE-GGA | optimized geometry

Cell lengths 4.2840, 4.2840, 5.5252 Å; angles 90.00, 90.00, 90.00 degrees
Sites, in units of the cell vectors:
Co 0.0000 0.5000 0.2346
Co 0.0000 0.5000 0.7654
Co 0.5000 0.0000 0.2346
Co 0.5000 0.0000 0.7654
Ni 0.0000 0.0000 0.0000
Ir 0.5000 0.5000 0.0000
Rh 0.0000 0.0000 0.5000
Rh 0.5000 0.5000 0.5000

Summary:
The value obtained for the energy of formation from the pure elements is 0.15 eV/atom.

Record 4
CoNi2IrRh4 | PBE-GGA | optimized geometry

Cell lengths 4.4764, 4.4764, 5.3605 Å; angles 90.00, 90.00, 90.00 degrees
Sites, in units of the cell vectors:
Co 0.0000 0.0000 0.0000
Ni 0.0000 0.0000 0.5000
Ni 0.5000 0.5000 0.0000
Ir 0.5000 0.5000 0.5000
Rh 0.0000 0.5000 0.2460
Rh 0.0000 0.5000 0.7540
Rh 0.5000 0.0000 0.2460
Rh 0.5000 0.0000 0.7540

Summary:
The value obtained for the energy of formation from the pure elements is 0.19 eV/atom.

Record 5
CoNiIr2Rh2 | PBE-GGA | optimized geometry

Cell lengths 4.8494, 5.2531, 6.6346 Å; angles 90.00, 104.58, 90.00 degrees
Sites, in units of the cell vectors:
Co 0.2429 0.2500 0.4982
Co 0.7571 0.7500 0.5018
Ni 0.3684 0.2500 0.1537
Ni 0.6316 0.7500 0.8463
Ir 0.2638 0.7500 0.5081
Ir 0.3848 0.7500 0.1546
Ir 0.6152 0.2500 0.8454
Ir 0.7362 0.2500 0.4919
Rh 0.1037 0.0015 0.8149
Rh 0.1037 0.4985 0.8149
Rh 0.8963 0.5015 0.1851
Rh 0.8963 0.9985 0.1851

Summary:
The value obtained for the energy of formation from the pure elements is 0.18 eV/atom.

Record 6
ScCoNiIr | PBE-GGA | optimized geometry

Cell lengths 6.0687, 6.0687, 6.0687 Å; angles 90.00, 90.00, 90.00 degrees
Sites, in units of the cell vectors:
Sc 0.0000 0.0000 0.0000
Sc 0.0000 0.5000 0.5000
Sc 0.5000 0.0000 0.5000
Sc 0.5000 0.5000 0.0000
Co 0.2500 0.2500 0.7500
Co 0.2500 0.7500 0.2500
Co 0.7500 0.2500 0.2500
Co 0.7500 0.7500 0.7500
Ni 0.2500 0.2500 0.2500
Ni 0.2500 0.7500 0.7500
Ni 0.7500 0.2500 0.7500
Ni 0.7500 0.7500 0.2500
Ir 0.0000 0.0000 0.5000
Ir 0.0000 0.5000 0.0000
Ir 0.5000 0.0000 0.0000
Ir 0.5000 0.5000 0.5000

Summary:
The value obtained for the energy of formation from the pure elements is -0.26 eV/atom.

Record 7
Sc4Co2NiIr | PBE-GGA | optimized geometry

Cell lengths 7.7533, 7.7533, 7.7533 Å; angles 33.63, 33.63, 33.63 degrees
Sites, in units of the cell vectors:
Sc 0.1242 0.1242 0.1242
Sc 0.3742 0.3742 0.3742
Sc 0.6258 0.6258 0.6258
Sc 0.8758 0.8758 0.8758
Co 0.2502 0.2502 0.2502
Co 0.7498 0.7498 0.7498
Ni 0.0000 0.0000 0.0000
Ir 0.5000 0.5000 0.5000

Summary:
The value obtained for the energy of formation from the pure elements is -0.56 eV/atom.

Record 8
CoNiIr2Se | PBE-GGA | optimized geometry

Cell lengths 4.5450, 4.5450, 4.2266 Å; angles 90.00, 90.00, 90.00 degrees
Sites, in units of the cell vectors:
Co 0.0000 0.0000 0.0000
Ni 0.0000 0.0000 0.5000
Ir 0.0000 0.5000 0.5000
Ir 0.5000 0.0000 0.5000
Se 0.5000 0.5000 0.0000

Summary:
The calculation puts the uncorrected formation energy at 132 kJ per mole of atoms.

Record 9
Co2NiIrSe8 | PBE-GGA | optimized geometry

Cell lengths 4.9596, 7.4315, 5.9092 Å; angles 90.00, 90.05, 90.00 degrees
Sites, in units of the cell vectors:
Co 0.0000 0.2484 0.0000
Co 0.0000 0.7516 0.0000
Ni 0.5000 0.5000 0.5000
Ir 0.5000 0.0000 0.5000
Se 0.2098 0.2543 0.3654
Se 0.2098 0.7457 0.3654
Se 0.2765 0.0000 0.8799
Se 0.2780 0.5000 0.8745
Se 0.7220 0.5000 0.1255
Se 0.7235 0.0000 0.1201
Se 0.7902 0.2543 0.6346
Se 0.7902 0.7457 0.6346

Summary:
The calculation puts the uncorrected formation energy at -27 kJ per mole of atoms.

Record 10
CoSiNiIr | PBE-GGA | optimized geometry

Cell lengths 5.7648, 5.7648, 5.7648 Å; angles 90.00, 90.00, 90.00 degrees
Sites, in units of the cell vectors:
Co 0.0000 0.0000 0.0000
Co 0.0000 0.5000 0.5000
Co 0.5000 0.0000 0.5000
Co 0.5000 0.5000 0.0000
Si 0.2500 0.2500 0.7500
Si 0.2500 0.7500 0.2500
Si 0.7500 0.2500 0.2500
Si 0.7500 0.7500 0.7500
Ni 0.2500 0.2500 0.2500
Ni 0.2500 0.7500 0.7500
Ni 0.7500 0.2500 0.7500
Ni 0.7500 0.7500 0.2500
Ir 0.0000 0.0000 0.5000
Ir 0.0000 0.5000 0.0000
Ir 0.5000 0.0000 0.0000
Ir 0.5000 0.5000 0.5000

Summary:
The calculation puts the uncorrected formation energy at -28 kJ per mole of atoms.

Record 11
Ta2CoNiIr | PBE-GGA | optimized geometry

Cell lengths 4.5013, 4.5013, 4.1472 Å; angles 90.00, 90.00, 90.00 degrees
Sites, in units of the cell vectors:
Ta 0.0000 0.5000 0.0000
Ta 0.5000 0.0000 0.0000
Co 0.0000 0.0000 0.5000
Ni 0.0000 0.0000 0.0000
Ir 0.5000 0.5000 0.5000

Summary:
The value obtained for the energy of formation from the pure elements is 0.85 eV/atom.

Record 12
TiCoNiIr | PBE-GGA | optimized geometry

Cell lengths 5.9573, 5.9573, 5.9573 Å; angles 90.00, 90.00, 90.00 degrees
Sites, in units of the cell vectors:
Ti 0.0000 0.0000 0.0000
Ti 0.0000 0.5000 0.5000
Ti 0.5000 0.0000 0.5000
Ti 0.5000 0.5000 0.0000
Co 0.0000 0.0000 0.5000
Co 0.0000 0.5000 0.0000
Co 0.5000 0.0000 0.0000
Co 0.5000 0.5000 0.5000
Ni 0.2500 0.2500 0.2500
Ni 0.2500 0.7500 0.7500
Ni 0.7500 0.2500 0.7500
Ni 0.7500 0.7500 0.2500
Ir 0.2500 0.2500 0.7500
Ir 0.2500 0.7500 0.2500
Ir 0.7500 0.2500 0.2500
Ir 0.7500 0.7500 0.7500

Summary:
The value obtained for the distance to the lowest polymorph of the same formula is 210.6 meV/atom. The value obtained for the energy of formation from the pure elements is -0.28 eV/atom.

Energy in eV/atom, matching the order above: -8.382; -6.531; -7.066; -6.929; -7.368; -7.285; -7.337; -5.451; -5.004; -7.086; -8.241; -7.694